B6O | PBE | optimized geometry

a b c (Å): 5.153 5.153 5.153
angles (deg): 63.11 63.11 63.11
Fractional positions:
B: 0.676 0.201 0.201
B: 0.799 0.799 0.324
B: 0.667 0.998 0.998
B: 0.201 0.676 0.201
B: 0.799 0.324 0.799
B: 0.201 0.201 0.676
B: 0.998 0.998 0.667
B: 0.324 0.799 0.799
B: 0.998 0.667 0.998
B: 0.002 0.333 0.002
B: 0.333 0.002 0.002
B: 0.002 0.002 0.333
O: 0.622 0.622 0.622
O: 0.378 0.378 0.378

Computed properties:
Final energy = -0.2623 Ha/atom
E_form (uncorrected) = -0.706 eV per atom

=====

CeDy3In2 | PBE | optimized geometry

a b c (Å): 4.865 8.956 9.199
angles (deg): 119.13 105.33 90.00
Fractional positions:
Ce: 0.000 0.000 0.000
Ce: 0.000 0.500 0.000
In: 0.659 0.659 0.318
In: 0.341 0.841 0.682
In: 0.341 0.341 0.682
In: 0.659 0.159 0.318
Dy: 0.500 0.750 0.000
Dy: 0.828 0.078 0.656
Dy: 0.172 0.422 0.344
Dy: 0.172 0.922 0.344
Dy: 0.500 0.250 0.000
Dy: 0.828 0.578 0.656

Computed properties:
Final energy = -0.1636 Ha/atom
Energy relative to the elements = -250 meV/atom

=====

Re3C | PBE | optimized geometry

a b c (Å): 5.804 5.804 7.511
angles (deg): 90.00 90.00 120.00
Fractional positions:
C: 0.667 0.333 0.750
C: 0.000 0.000 0.500
C: 0.000 0.000 0.000
C: 0.333 0.667 0.250
Re: 0.500 0.500 0.000
Re: 0.000 0.500 0.000
Re: 0.300 0.150 0.250
Re: 0.500 0.000 0.000
Re: 0.150 0.300 0.750
Re: 0.850 0.700 0.250
Re: 0.500 0.500 0.500
Re: 0.850 0.150 0.250
Re: 0.150 0.850 0.750
Re: 0.000 0.500 0.500
Re: 0.700 0.850 0.750
Re: 0.500 0.000 0.500

Computed properties:
Final energy = -0.3720 Ha/atom
Polymorph energy (0 for the lowest one) = 6.144 eV per formula unit
Energy relative to the elements = 1519 meV/atom

=====

CeVAs2 | PBE | optimized geometry

a b c (Å): 3.268 3.268 6.924
angles (deg): 90.00 90.00 90.00
Fractional positions:
As: 0.000 0.000 0.203
As: 0.000 0.000 0.797
V: 0.500 0.500 0.000
Ce: 0.500 0.500 0.500

Computed properties:
Final energy = -0.2427 Ha/atom
Polymorph energy (0 for the lowest one) = 0.311 eV per formula unit
Energy relative to the elements = -517 meV/atom

=====

NpPaGaPt | PBE | optimized geometry

a b c (Å): 4.870 4.870 4.870
angles (deg): 60.00 60.00 60.00
Fractional positions:
Np: 0.750 0.750 0.750
Ga: 0.500 0.500 0.500
Pt: 0.250 0.250 0.250
Pa: 0.000 0.000 0.000

Computed properties:
Final energy = -0.2990 Ha/atom
Energy relative to the elements = -259 meV/atom

=====

CeHo2ScS6 | PBE | optimized geometry

a b c (Å): 6.863 6.863 7.289
angles (deg): 61.91 61.91 60.00
Fractional positions:
S: 0.399 0.712 0.756
S: 0.134 0.399 0.756
S: 0.934 0.597 0.247
S: 0.598 0.222 0.247
S: 0.712 0.134 0.756
S: 0.222 0.934 0.247
Ho: 0.013 0.013 0.960
Ho: 0.520 0.520 0.441
Ce: 0.811 0.811 0.566
Sc: 0.320 0.320 0.039

Computed properties:
Final energy = -0.2418 Ha/atom
E_form (uncorrected) = -1.962 eV per atom

=====

Mg3Tl2 | PBE | optimized geometry

a b c (Å): 13.486 11.792 6.950
angles (deg): 88.08 60.92 31.00
Fractional positions:
Mg: 0.404 0.771 0.309
Mg: 0.479 0.846 0.735
Mg: 0.257 0.243 0.243
Mg: 0.007 0.993 0.993
Mg: 0.515 0.309 0.771
Mg: 0.941 0.735 0.846
Tl: 0.757 0.345 0.581
Tl: 0.905 0.493 0.933
Tl: 0.317 0.581 0.345
Tl: 0.669 0.933 0.493

Computed properties:
Final energy = -0.0688 Ha/atom
Polymorph energy (0 for the lowest one) = 0.221 eV per formula unit
Energy relative to the elements = 30 meV/atom

=====

CeCoSi2Rh | PBE | optimized geometry

a b c (Å): 5.743 5.743 5.743
angles (deg): 139.14 139.14 59.16
Fractional positions:
Si: 0.376 0.376 0.000
Si: 0.624 0.624 0.000
Co: 0.250 0.750 0.500
Rh: 0.750 0.250 0.500
Ce: 0.000 0.000 0.000

Computed properties:
Final energy = -0.2625 Ha/atom
E_form (uncorrected) = -0.895 eV per atom

=====

Which value of final energy does entry 1 give? -0.2623 Ha/atom

=====

final energy of number 5 (NpPaGaPt)? -0.2990 Ha/atom

=====

final energy of number 2 (CeDy3In2)? -0.1636 Ha/atom